The following is a DFT calculation (GGA-PBE) of a relaxed Mg2CuRu crystal.

Cell: 3.8645 3.8645 8.2570 Å, 90.00 90.00 90.00°
Space group I-4m2 (No. 119)
Asymmetric unit:
Mg1 0.0000 0.0000 0.0000 x2
Mg2 0.0000 0.5000 0.2500 x2
Cu1 0.0000 0.0000 0.5000 x2
Ru1 0.0000 0.5000 0.7500 x2

Values from the calculation:
calculated density = 5.7 g cm⁻³
size of the total moment = 0.0982 μB/atom
formation enthalpy at 0 K = 5 kJ/mol of atoms
E_tot = -4.0859 eV per atom
calculated volume = 61.7 Å³/f.u.

***

The following is a DFT calculation (GGA-PBE) of a relaxed MgCuRu2 crystal.

Cell: 5.2238 8.0891 2.6987 Å, 90.00 90.00 90.00°
Space group Cmmm (No. 65)
Asymmetric unit:
Mg1 0.0000 0.0000 0.0000 x2
Cu1 0.0000 0.5000 0.0000 x2
Ru1 0.2500 0.2500 0.5000 x4

Values from the calculation:
calculated density = 8.4 g cm⁻³
size of the total moment = 0.0003 μB/atom
formation enthalpy at 0 K = 27 kJ/mol of atoms
E_tot = -5.7784 eV per atom
calculated volume = 57.0 Å³/f.u.

***

The following is a DFT calculation (GGA-PBE) of a relaxed MgCuRu2 crystal.

Cell: 8.8402 2.7819 4.7278 Å, 90.00 99.03 90.00°
Space group Cm (No. 8)
Asymmetric unit:
Mg1 0.0000 0.0000 0.0000 x2
Cu1 0.2518 0.5000 0.2028 x2
Ru1 0.2399 0.0000 0.6819 x2
Ru2 0.4965 0.0000 0.5018 x2

Values from the calculation:
calculated density = 8.4 g cm⁻³
size of the total moment = 0.0001 μB/atom
formation enthalpy at 0 K = 11 kJ/mol of atoms
E_tot = -5.9421 eV per atom
calculated volume = 57.4 Å³/f.u.